No. 1
Material: Pb2WSe
Method: DFT, PBE
State: optimized geometry

Unit cell a=3.6539 b=3.6539 c=6.8335 alpha=90.00 beta=90.00 gamma=90.00
Positions (direct):
Pb (0.0000, 0.0000, 0.2293)
Pb (0.0000, 0.0000, 0.7707)
W (0.5000, 0.5000, 0.0000)
Se (0.5000, 0.5000, 0.5000)

Calculated values
The calculation puts the energy relative to the elements, uncorrected at 799 meV/atom. The calculation puts the total energy at -0.3796 Ry per atom. The volume comes out at 91.2 Å³/f.u.



No. 2
Material: VTcSe2
Method: DFT, PBE
State: optimized geometry

Unit cell a=4.3933 b=4.3933 c=4.3933 alpha=60.00 beta=60.00 gamma=60.00
Positions (direct):
V (0.0000, 0.0000, 0.0000)
Tc (0.5000, 0.5000, 0.5000)
Se (0.2500, 0.2500, 0.2500)
Se (0.7500, 0.7500, 0.7500)

Calculated values
The calculation puts the energy relative to the elements, uncorrected at -24 meV/atom. The calculation puts the total energy at -0.4878 Ry per atom. The volume comes out at 60.0 Å³/f.u.



No. 3
Material: CsGaSe2
Method: DFT, PBE
State: optimized geometry

Unit cell a=7.4499 b=3.7939 c=19.0036 alpha=90.00 beta=90.00 gamma=90.00
Positions (direct):
Cs (0.0546, 0.2500, 0.1456)
Cs (0.4454, 0.7500, 0.6456)
Cs (0.5546, 0.2500, 0.3544)
Cs (0.9454, 0.7500, 0.8544)
Ga (0.0580, 0.7500, 0.4254)
Ga (0.4420, 0.2500, 0.9254)
Ga (0.5580, 0.7500, 0.0746)
Ga (0.9420, 0.2500, 0.5746)
Se (0.0511, 0.2500, 0.3374)
Se (0.2244, 0.2500, 0.5067)
Se (0.2756, 0.7500, 0.0067)
Se (0.4489, 0.7500, 0.8374)
Se (0.5511, 0.2500, 0.1626)
Se (0.7244, 0.2500, 0.9933)
Se (0.7756, 0.7500, 0.4933)
Se (0.9489, 0.7500, 0.6626)

Calculated values
The calculation puts the energy relative to the elements, uncorrected at -795 meV/atom. The calculation puts the total energy at -0.2578 Ry per atom. The volume comes out at 134.3 Å³/f.u.



No. 4
Material: Zr3AgAs
Method: DFT, PBE
State: optimized geometry

Unit cell a=5.1186 b=5.1186 c=5.1186 alpha=90.00 beta=90.00 gamma=90.00
Positions (direct):
Zr (0.0000, 0.0000, 0.5000)
Zr (0.0000, 0.5000, 0.0000)
Zr (0.5000, 0.0000, 0.0000)
Ag (0.0000, 0.0000, 0.0000)
As (0.5000, 0.5000, 0.5000)

Calculated values
The value obtained for the formation energy is 0.83 eV/atom. The calculation puts the total energy at -0.4265 Ry per atom. The volume comes out at 134.1 Å³/f.u.



No. 5
Material: TaTe2N2
Method: DFT, PBE
State: optimized geometry

Unit cell a=4.1106 b=4.1106 c=6.0645 alpha=90.00 beta=90.00 gamma=90.00
Positions (direct):
Ta (0.0000, 0.0000, 0.0000)
Te (0.0000, 0.0000, 0.5000)
Te (0.5000, 0.5000, 0.5000)
N (0.0000, 0.5000, 0.0000)
N (0.5000, 0.0000, 0.0000)

Calculated values
The calculation puts the energy relative to the elements, uncorrected at 409 meV/atom. The calculation puts the total energy at -0.4813 Ry per atom. The volume comes out at 102.5 Å³/f.u.



No. 6
Material: NaAsS
Method: DFT, PBE
State: optimized geometry

Unit cell a=7.2194 b=7.2194 c=7.2194 alpha=142.53 beta=128.93 gamma=65.04
Positions (direct):
Na (0.1412, 0.1412, 0.0000)
Na (0.8588, 0.8588, 0.0000)
As (0.2167, 0.5000, 0.7167)
As (0.7833, 0.5000, 0.2833)
S (0.3709, 0.3709, 0.0000)
S (0.6291, 0.6291, 0.0000)

Calculated values
The calculation puts the energy relative to the elements, uncorrected at -204 meV/atom. The calculation puts the total energy at -0.2624 Ry per atom. The volume comes out at 87.9 Å³/f.u.